# 1
Below is a relaxed YBePd crystal, with properties calculated at the PBE-GGA level.

Cell and atoms, written as POSCAR:
```
YBePd
1.0
0.0000 3.2180 3.2180
3.2180 0.0000 3.2180
3.2180 3.2180 0.0000
Y Be Pd
1 1 1
Direct
0.0000 0.0000 0.0000
0.7500 0.7500 0.7500
0.2500 0.2500 0.2500
```

The polymorph energy (0 for the lowest one) is 0.544 eV/atom. Its magnetic moment is 0.0 μB per cell. The space-group type is F-43m.



# 2
Below is a relaxed YBePd crystal, with properties calculated at the PBE-GGA level.

Cell and atoms, written as POSCAR:
```
YBePd
1.0
0.0000 3.1469 3.1469
3.1469 0.0000 3.1469
3.1469 3.1469 0.0000
Y Be Pd
1 1 1
Direct
0.0000 0.0000 0.0000
0.5000 0.5000 0.5000
0.7500 0.7500 0.7500
```

The polymorph energy (0 for the lowest one) is 0.000 eV/atom. Its magnetic moment is 0.0 μB per cell. The space-group type is F-43m.



# 3
Below is a relaxed BeZn3Pd2 crystal, with properties calculated at the PBE-GGA level.

Cell and atoms, written as POSCAR:
```
BeZn3Pd2
1.0
2.9845 0.0000 0.0000
0.0000 2.9845 0.0000
0.0000 0.0000 9.1290
Be Zn Pd
1 3 2
Direct
0.0000 0.0000 0.0000
0.0000 0.0000 0.3072
0.5000 0.5000 0.4906
0.5000 0.5000 0.8399
0.0000 0.0000 0.6649
0.5000 0.5000 0.1270
```

Its uncorrected energy is -20.05 eV per cell. The space-group type is P4mm.



# 4
Below is a relaxed BeZnPd crystal, with properties calculated at the PBE-GGA level.

Cell and atoms, written as POSCAR:
```
BeZnPd
1.0
2.9304 0.0000 0.0000
0.0000 2.9304 0.0000
0.0000 0.0000 8.7191
Be Zn Pd
2 2 2
Direct
0.0000 0.0000 0.1443
0.0000 0.0000 0.8557
0.5000 0.5000 0.3099
0.5000 0.5000 0.6901
0.0000 0.0000 0.5000
0.5000 0.5000 0.0000
```

The polymorph energy (0 for the lowest one) is 0.042 eV/atom. The space-group type is P4/mmm.



# 5
Below is a relaxed BeZn2Pd crystal, with properties calculated at the PBE-GGA level.

Cell and atoms, written as POSCAR:
```
BeZn2Pd
1.0
0.0000 2.9509 2.9509
2.9509 0.0000 2.9509
2.9509 2.9509 0.0000
Be Zn Pd
1 2 1
Direct
0.0000 0.0000 0.0000
0.5000 0.5000 0.5000
0.7500 0.7500 0.7500
0.2500 0.2500 0.2500
```

Its uncorrected energy is -12.30 eV per cell. The space-group type is F-43m.



# 6
Below is a relaxed Be2ZnPd crystal, with properties calculated at the PBE-GGA level.

Cell and atoms, written as POSCAR:
```
Be2ZnPd
1.0
0.0000 2.8654 2.8654
2.8654 0.0000 2.8654
2.8654 2.8654 0.0000
Be Zn Pd
2 1 1
Direct
0.0000 0.0000 0.0000
0.2500 0.2500 0.2500
0.5000 0.5000 0.5000
0.7500 0.7500 0.7500
```

Its uncorrected energy is -14.45 eV per cell. The space-group type is F-43m.